# 1
Li2ScFe: relaxed, GGA-PBE.

calculated volume: 16.4 Å³ per atom
electronic total energy: -17.28 eV per cell
ΔE to the lowest computed polymorph: 161 meV per atom
formation energy from the elements: 0.336 eV per atom

Cell: 2.8623 4.4976 5.1053 Å, 90.00 90.00 90.00°
Space group Pmmm (No. 47)
Unique sites:
Li1 0.0000 0.0000 0.2219 x2
Sc1 0.5000 0.5000 0.5000 x1
Fe1 0.5000 0.5000 0.0000 x1

# 2
Ce6C2NCl3: relaxed, GGA-PBE.

calculated volume: 20.4 Å³ per atom
electronic total energy: -164.09 eV per cell
energy relative to the elements, uncorrected: -1.177 eV per atom

Cell: 6.3159 10.9395 7.3948 Å, 90.00 106.54 90.00°
Space group C2/m (No. 12)
Unique sites:
Ce1 0.2299 0.1651 0.1945 x8
Ce2 0.2347 0.5000 0.1952 x4
C1 0.0000 0.3336 0.0000 x4
N1 0.0000 0.0000 0.0000 x2
Cl1 0.0000 0.1691 0.5000 x4
Cl2 0.0000 0.5000 0.5000 x2

# 3
Tl8TeSe2S: relaxed, GGA-PBE.

calculated volume: 35.5 Å³ per atom
electronic total energy: -37.18 eV per cell
energy relative to the elements, uncorrected: -0.334 eV per atom

Cell: 6.7778 7.6317 8.8749 Å, 89.99 89.97 68.28°
Space group P-1 (No. 2)
Unique sites:
Tl1 0.2190 0.2365 0.0008 x2
Tl2 0.2264 0.7591 0.2718 x2
Tl3 0.2260 0.7588 0.7282 x2
Tl4 0.2337 0.2671 0.4992 x2
Te1 0.5000 0.5000 0.0000 x1
Se1 0.4987 0.0008 0.7453 x2
S1 0.5000 0.5000 0.5000 x1

# 4
Ce2ErPaTc2: relaxed, GGA-PBE.

calculated volume: 23.5 Å³ per atom
electronic total energy: -94.77 eV per cell
formation energy from the elements: -0.121 eV per atom

Cell: 4.2209 9.5263 7.0007 Å, 90.00 90.00 90.00°
Space group Pmc2_1 (No. 26)
Unique sites:
Ce1 0.0000 0.0819 0.0000 x2
Ce2 0.5000 0.1626 0.2580 x2
Er1 0.5000 0.4395 0.9512 x2
Pa1 0.0000 0.2956 0.5949 x2
Tc1 0.0000 0.3798 0.2639 x2
Tc2 0.5000 0.1670 0.7262 x2

# 5
Ac2La8Zn: relaxed, GGA-PBE.

calculated volume: 36.6 Å³ per atom
electronic total energy: -98.16 eV per cell
formation energy from the elements: -0.015 eV per atom

Cell: 20.3281 5.9248 6.7071 Å, 90.00 93.76 90.00°
Space group C2/m (No. 12)
Unique sites:
Ac1 0.2373 0.0000 0.3172 x4
La1 0.0365 0.0000 0.2503 x4
La2 0.0775 0.5000 0.6137 x4
La3 0.1490 0.0000 0.7960 x4
La4 0.1502 0.5000 0.1240 x4
Zn1 0.0000 0.5000 0.0000 x2

# 6
PmHoHf: relaxed, GGA-PBE.

calculated volume: 28.5 Å³ per atom
electronic total energy: -37.75 eV per cell
ΔE to the lowest computed polymorph: 0 meV per atom
formation energy from the elements: 0.136 eV per atom

Cell: 3.3640 3.3640 15.1337 Å, 90.00 90.00 90.00°
Space group I4mm (No. 107)
Unique sites:
Pm1 0.0000 0.0000 0.0000 x2
Ho1 0.0000 0.0000 0.3092 x2
Hf1 0.0000 0.0000 0.6599 x2